This record from Alexandria via LeMat-Bulk describes H3SeI3 after structural relaxation. The functional is PBE.

Cell: 7.3380 7.9669 9.2177 Å, 90.00 108.55 90.00°
With the nearest neighbours (Å) after each atom.
Space group P2_1/m (No. 11)
Unique sites:
H1 0.0543 0.2500 0.3251 x2  1 Se 1.48
H2 0.0966 0.7500 0.5146 x2  1 Se 1.48
H3 0.4081 0.2500 0.8149 x2  1 I 1.78
Se1 0.1509 0.7500 0.6841 x2  2 H 1.48
I1 0.0846 0.7500 0.1613 x2  2 I 2.84-3.06
I2 0.3125 0.2500 0.0103 x2  1 H 2.13
I3 0.4879 0.2500 0.6519 x2  1 H 1.78

Its total energy is -2.58 eV/atom. Its magnetization is 0.00 μB/cell.